No. 1
Here is crystalline SrCaTl at its relaxed geometry from the Alexandria database. Energies are from PBE.

## Properties
Total magnetization: 0.00 μB/cell
Energy relative to the elements: -0.301 eV per atom

Unit cell a=5.6793 b=5.6509 c=7.5285 alpha=112.02 beta=90.00 gamma=90.00
Element x y z (fractional)
Sr 0.7523 0.6127 0.2186
Sr 0.2522 0.3950 0.7846
Ca 0.7522 0.8896 0.7729
Ca 0.2522 0.1181 0.2303
Tl 0.7522 0.2574 0.5079
Tl 0.2523 0.7503 0.4953

***

No. 2
Here is crystalline Sr6CaTl at its relaxed geometry from the Alexandria database. Energies are from PBE.

## Properties
Polymorph energy (0 for the lowest one): 0 meV per atom
Total magnetization: 0.00 μB/cell
Energy relative to the elements: -0.048 eV per atom

Unit cell a=5.8067 b=8.1927 c=8.1927 alpha=99.14 beta=90.00 gamma=90.00
Element x y z (fractional)
Sr 0.0000 0.6163 0.8591
Sr 0.0000 0.1409 0.3837
Sr 0.0000 0.6340 0.3660
Sr 0.5000 0.9334 0.6718
Sr 0.5000 0.3282 0.0666
Sr 0.5000 0.8676 0.1324
Ca 0.5000 0.4177 0.5823
Tl 0.0000 0.0618 0.9382